(1)
Na4TlBi2Pb2: relaxed, PBE-GGA.

```
data_Na4TlBi2Pb2
_chemical_formula_sum 'Na4 Tl1 Bi2 Pb2'
_space_group_name_H-M_alt 'P -1'
_space_group_IT_number 2
_space_group_name_Hall '-P 1'
_cell_length_a 6.241
_cell_length_b 6.579
_cell_length_c 8.037
_cell_angle_alpha 83.32
_cell_angle_beta 70.81
_cell_angle_gamma 66.46
loop_
_atom_site_label
_atom_site_type_symbol
_atom_site_fract_x
_atom_site_fract_y
_atom_site_fract_z
_atom_site_occupancy
Na1 Na 0.137 0.152 0.345 1
Na2 Na 0.325 0.323 0.911 1
Tl1 Tl 0.500 0.500 0.500 1
Bi1 Bi 0.096 0.684 0.243 1
Pb1 Pb 0.298 0.845 0.842 1
```

Computed properties:
For the formation energy, the calculation gives -0.16 eV per atom. Its density of states at the Fermi level is 0.340 states/eV/atom. The calculation puts the total energy at -2.697 eV per atom.


(2)
NaTlBi2Pb5: relaxed, PBE-GGA.

```
data_NaTlBi2Pb5
_chemical_formula_sum 'Na4 Tl4 Bi8 Pb20'
_space_group_name_H-M_alt 'C m c 21'
_space_group_IT_number 36
_space_group_name_Hall 'C 2c -2'
_cell_length_a 4.280
_cell_length_b 19.708
_cell_length_c 14.177
_cell_angle_alpha 90.00
_cell_angle_beta 90.00
_cell_angle_gamma 90.00
loop_
_atom_site_label
_atom_site_type_symbol
_atom_site_fract_x
_atom_site_fract_y
_atom_site_fract_z
_atom_site_occupancy
Na1 Na 0.000 0.116 0.000 1
Tl1 Tl 0.000 0.231 0.518 1
Bi1 Bi 0.000 0.372 0.172 1
Bi2 Bi 0.000 0.379 0.860 1
Pb1 Pb 0.000 0.026 0.796 1
Pb2 Pb 0.000 0.058 0.517 1
Pb3 Pb 0.000 0.195 0.207 1
Pb4 Pb 0.000 0.209 0.818 1
Pb5 Pb 0.000 0.452 0.656 1
```

Computed properties:
For the formation energy, the calculation gives 0.00 eV per atom. Its density of states at the Fermi level is 0.397 states/eV/atom. The calculation puts the total energy at -3.328 eV per atom.


(3)
Na2TlBi2Pb2: relaxed, PBE-GGA.

```
data_Na2TlBi2Pb2
_chemical_formula_sum 'Na4 Tl2 Bi4 Pb4'
_space_group_name_H-M_alt 'C 1 2/m 1'
_space_group_IT_number 12
_space_group_name_Hall '-C 2y'
_cell_length_a 9.535
_cell_length_b 5.852
_cell_length_c 8.995
_cell_angle_alpha 90.00
_cell_angle_beta 118.71
_cell_angle_gamma 90.00
loop_
_atom_site_label
_atom_site_type_symbol
_atom_site_fract_x
_atom_site_fract_y
_atom_site_fract_z
_atom_site_occupancy
Na1 Na 0.147 0.000 0.418 1
Tl1 Tl 0.000 0.000 0.000 1
Bi1 Bi 0.069 0.500 0.728 1
Pb1 Pb 0.213 0.500 0.151 1
```

Computed properties:
For the formation energy, the calculation gives -0.12 eV per atom. Its density of states at the Fermi level is 0.378 states/eV/atom. The calculation puts the total energy at -3.006 eV per atom.


(4)
NaTl2Bi2Pb: relaxed, PBE-GGA.

```
data_NaTl2Bi2Pb
_chemical_formula_sum 'Na2 Tl4 Bi4 Pb2'
_space_group_name_H-M_alt 'P m c 21'
_space_group_IT_number 26
_space_group_name_Hall 'P 2c -2'
_cell_length_a 5.369
_cell_length_b 9.904
_cell_length_c 7.365
_cell_angle_alpha 90.00
_cell_angle_beta 90.00
_cell_angle_gamma 90.00
loop_
_atom_site_label
_atom_site_type_symbol
_atom_site_fract_x
_atom_site_fract_y
_atom_site_fract_z
_atom_site_occupancy
Na1 Na 0.000 0.036 0.000 1
Tl1 Tl 0.000 0.322 0.349 1
Tl2 Tl 0.500 0.461 0.064 1
Bi1 Bi 0.000 0.347 0.797 1
Bi2 Bi 0.500 0.146 0.263 1
Pb1 Pb 0.500 0.177 0.700 1
```

Computed properties:
For the formation energy, the calculation gives -0.10 eV per atom. Its density of states at the Fermi level is 0.348 states/eV/atom. The calculation puts the total energy at -3.022 eV per atom.


(5)
NaTl2Bi4Pb3: relaxed, PBE-GGA.

```
data_NaTl2Bi4Pb3
_chemical_formula_sum 'Na1 Tl2 Bi4 Pb3'
_space_group_name_H-M_alt 'P -4 m 2'
_space_group_IT_number 115
_space_group_name_Hall 'P -4 -2'
_cell_length_a 4.784
_cell_length_b 4.784
_cell_length_c 15.452
_cell_angle_alpha 90.00
_cell_angle_beta 90.00
_cell_angle_gamma 90.00
loop_
_atom_site_label
_atom_site_type_symbol
_atom_site_fract_x
_atom_site_fract_y
_atom_site_fract_z
_atom_site_occupancy
Na1 Na 0.000 0.000 0.000 1
Tl1 Tl 0.000 0.500 0.775 1
Bi1 Bi 0.000 0.000 0.500 1
Bi2 Bi 0.000 0.500 0.141 1
Bi3 Bi 0.500 0.500 0.500 1
Pb1 Pb 0.000 0.500 0.350 1
Pb2 Pb 0.500 0.500 0.000 1
```

Computed properties:
For the formation energy, the calculation gives 0.02 eV per atom. Its density of states at the Fermi level is 0.542 states/eV/atom. The calculation puts the total energy at -3.248 eV per atom.


(6)
NaTlBiPb: relaxed, PBE-GGA.

```
data_NaTlBiPb
_chemical_formula_sum 'Na4 Tl4 Bi4 Pb4'
_space_group_name_H-M_alt 'F -4 3 m'
_space_group_IT_number 216
_space_group_name_Hall 'F -4 2 3'
_cell_length_a 7.904
_cell_length_b 7.904
_cell_length_c 7.904
_cell_angle_alpha 90.00
_cell_angle_beta 90.00
_cell_angle_gamma 90.00
loop_
_atom_site_label
_atom_site_type_symbol
_atom_site_fract_x
_atom_site_fract_y
_atom_site_fract_z
_atom_site_occupancy
Na1 Na 0.000 0.000 0.000 1
Tl1 Tl 0.250 0.250 0.750 1
Bi1 Bi 0.250 0.250 0.250 1
Pb1 Pb 0.000 0.000 0.500 1
```

Computed properties:
For the formation energy, the calculation gives -0.10 eV per atom. Its density of states at the Fermi level is 0.926 states/eV/atom. The calculation puts the total energy at -2.920 eV per atom.


(7)
Na2BiPd6: relaxed, PBE-GGA.

```
data_Na2BiPd6
_chemical_formula_sum 'Na2 Bi1 Pd6'
_space_group_name_H-M_alt 'P -3 1 m'
_space_group_IT_number 162
_space_group_name_Hall '-P 3 2'
_cell_length_a 7.9958
_cell_length_b 7.9958
_cell_length_c 2.8995
_cell_angle_alpha 90.00
_cell_angle_beta 90.00
_cell_angle_gamma 120.00
loop_
_atom_site_label
_atom_site_type_symbol
_atom_site_fract_x
_atom_site_fract_y
_atom_site_fract_z
_atom_site_occupancy
Na1 Na 0.3333 0.6667 0.0000 1
Bi1 Bi 0.0000 0.0000 0.5000 1
Pd1 Pd 0.0000 0.3374 0.7182 1
```

Computed properties:
For the formation energy, the calculation gives -0.01 eV per atom. Its density of states at the Fermi level is 0.780 states/eV/atom. The calculation puts the total energy at -4.198 eV per atom.


(8)
NaBi2Pd: relaxed, PBE-GGA.

```
data_NaBi2Pd
_chemical_formula_sum 'Na3 Bi6 Pd3'
_space_group_name_H-M_alt 'R 3 m'
_space_group_IT_number 160
_space_group_name_Hall 'R 3 -2"'
_cell_length_a 4.4355
_cell_length_b 4.4355
_cell_length_c 19.9983
_cell_angle_alpha 90.00
_cell_angle_beta 90.00
_cell_angle_gamma 120.00
loop_
_atom_site_label
_atom_site_type_symbol
_atom_site_fract_x
_atom_site_fract_y
_atom_site_fract_z
_atom_site_occupancy
Na1 Na 0.0000 0.0000 0.0000 1
Bi1 Bi 0.0000 0.0000 0.2263 1
Bi2 Bi 0.0000 0.0000 0.4399 1
Pd1 Pd 0.0000 0.0000 0.8335 1
```

Computed properties:
For the formation energy, the calculation gives -0.27 eV per atom. Its density of states at the Fermi level is 0.301 states/eV/atom. The value obtained for the energy above the most stable polymorph in this dataset is 0.044 eV per atom. The calculation puts the total energy at -3.838 eV per atom.


(9)
Na2Bi7Pd12: relaxed, PBE-GGA.

```
data_Na2Bi7Pd12
_chemical_formula_sum 'Na2 Bi7 Pd12'
_space_group_name_H-M_alt 'P -6'
_space_group_IT_number 174
_space_group_name_Hall 'P -6'
_cell_length_a 10.6495
_cell_length_b 10.6495
_cell_length_c 4.5860
_cell_angle_alpha 90.00
_cell_angle_beta 90.00
_cell_angle_gamma 120.00
loop_
_atom_site_label
_atom_site_type_symbol
_atom_site_fract_x
_atom_site_fract_y
_atom_site_fract_z
_atom_site_occupancy
Na1 Na 0.0000 0.0000 0.0000 1
Na2 Na 0.3333 0.6667 0.5000 1
Bi1 Bi 0.0600 0.4816 0.0000 1
Bi2 Bi 0.2774 0.2410 0.5000 1
Bi3 Bi 0.6667 0.3333 0.0000 1
Pd1 Pd 0.0414 0.2945 0.5000 1
Pd2 Pd 0.1255 0.7723 0.0000 1
Pd3 Pd 0.3609 0.1607 0.0000 1
Pd4 Pd 0.5596 0.1441 0.5000 1
```

Computed properties:
For the formation energy, the calculation gives -0.28 eV per atom. Its density of states at the Fermi level is 0.352 states/eV/atom. The calculation puts the total energy at -4.663 eV per atom.


(10)
Na3Bi3Pd2: relaxed, PBE-GGA.

```
data_Na3Bi3Pd2
_chemical_formula_sum 'Na12 Bi12 Pd8'
_space_group_name_H-M_alt 'C m c m'
_space_group_IT_number 63
_space_group_name_Hall '-C 2c 2'
_cell_length_a 4.773
_cell_length_b 11.297
_cell_length_c 15.742
_cell_angle_alpha 90.00
_cell_angle_beta 90.00
_cell_angle_gamma 90.00
loop_
_atom_site_label
_atom_site_type_symbol
_atom_site_fract_x
_atom_site_fract_y
_atom_site_fract_z
_atom_site_occupancy
Na1 Na 0.000 0.069 0.118 1
Na2 Na 0.000 0.351 0.250 1
Bi1 Bi 0.000 0.353 0.750 1
Bi2 Bi 0.000 0.366 0.037 1
Pd1 Pd 0.000 0.218 0.605 1
```

Computed properties:
For the formation energy, the calculation gives -0.30 eV per atom. Its density of states at the Fermi level is 0.464 states/eV/atom. The value obtained for the energy above the most stable polymorph in this dataset is 0.000 eV per atom. The calculation puts the total energy at -3.552 eV per atom.


(11)
NaBiPd: relaxed, PBE-GGA.

```
data_NaBiPd
_chemical_formula_sum 'Na4 Bi4 Pd4'
_space_group_name_H-M_alt 'P m c 21'
_space_group_IT_number 26
_space_group_name_Hall 'P 2c -2'
_cell_length_a 6.541
_cell_length_b 4.844
_cell_length_c 9.782
_cell_angle_alpha 90.00
_cell_angle_beta 90.00
_cell_angle_gamma 90.00
loop_
_atom_site_label
_atom_site_type_symbol
_atom_site_fract_x
_atom_site_fract_y
_atom_site_fract_z
_atom_site_occupancy
Na1 Na 0.000 0.025 0.000 1
Na2 Na 0.500 0.244 0.376 1
Bi1 Bi 0.250 0.471 0.632 1
Pd1 Pd 0.000 0.482 0.372 1
Pd2 Pd 0.500 0.031 0.120 1
```

Computed properties:
For the formation energy, the calculation gives -0.20 eV per atom. Its density of states at the Fermi level is 0.442 states/eV/atom. The calculation puts the total energy at -3.662 eV per atom.


(12)
NaBiPd: relaxed, PBE-GGA.

```
data_NaBiPd
_chemical_formula_sum 'Na1 Bi1 Pd1'
_space_group_name_H-M_alt 'P -6 m 2'
_space_group_IT_number 187
_space_group_name_Hall 'P -6 2'
_cell_length_a 4.8363
_cell_length_b 4.8363
_cell_length_c 3.3975
_cell_angle_alpha 90.00
_cell_angle_beta 90.00
_cell_angle_gamma 120.00
loop_
_atom_site_label
_atom_site_type_symbol
_atom_site_fract_x
_atom_site_fract_y
_atom_site_fract_z
_atom_site_occupancy
Na1 Na 0.0000 0.0000 0.0000 1
Bi1 Bi 0.6667 0.3333 0.5000 1
Pd1 Pd 0.3333 0.6667 0.5000 1
```

Computed properties:
For the formation energy, the calculation gives -0.25 eV per atom. Its density of states at the Fermi level is 0.541 states/eV/atom. The calculation puts the total energy at -3.719 eV per atom.


- What is the formation energy in the first record?
  -0.16 eV per atom